Entry 1:
{"formula": "AgRuW", "functional": "PBE", "state": "relaxed", "relative_energy_mev_per_atom": 636, "sg": "F-43m", "formation_enthalpy_0k_ev_per_atom": 0.94, "lattice": [[-1.205, -3.651, -1.891], [2.528, -1.827, -2.937], [2.040, -3.657, 0.907]], "species": ["Ag", "Ru", "W"], "frac_coords": [[0.500, 0.500, 0.500], [0.750, 0.750, 0.750], [0.000, 0.000, 0.000]]}

Entry 2:
{"formula": "Pr2Si5Pd3", "functional": "PBE", "state": "relaxed", "sg": "C2/c", "e_form_raw_ev_per_atom": -0.828, "lattice": [[5.668, 0.000, 2.070], [3.100, 7.725, 0.290], [0.170, -0.493, 8.312]], "species": ["Pd", "Si", "Pd", "Si", "Pd", "Pd", "Pd", "Pr", "Pr", "Si", "Si", "Si", "Pr", "Pd", "Si", "Si", "Si", "Si", "Si", "Pr"], "frac_coords": [[0.391, 0.471, 0.746], [0.351, 0.034, 0.264], [0.891, 0.746, 0.471], [0.750, 0.226, 0.774], [0.609, 0.529, 0.254], [0.109, 0.254, 0.529], [0.750, 0.000, 0.000], [0.765, 0.607, 0.863], [0.235, 0.393, 0.137], [0.149, 0.736, 0.966], [0.250, 0.226, 0.774], [0.250, 0.774, 0.226], [0.265, 0.863, 0.607], [0.250, 0.000, 0.000], [0.750, 0.774, 0.226], [0.851, 0.264, 0.034], [0.750, 0.500, 0.500], [0.250, 0.500, 0.500], [0.649, 0.966, 0.736], [0.735, 0.137, 0.393]]}

Entry 3:
{"formula": "Ac2Zn9Ag", "functional": "PBE", "state": "relaxed", "sg": "R-3m", "formation_enthalpy_0k_ev_per_atom": -0.03, "lattice": [[5.694, 0.000, 0.000], [2.847, 4.931, 0.000], [2.847, 1.644, 8.796]], "species": ["Zn", "Zn", "Zn", "Ag", "Zn", "Zn", "Ac", "Zn", "Ac", "Zn", "Zn", "Zn"], "frac_coords": [[0.421, 0.421, 0.234], [0.924, 0.421, 0.234], [0.335, 0.335, 0.996], [0.000, 0.000, 0.000], [0.421, 0.924, 0.234], [0.076, 0.579, 0.766], [0.138, 0.138, 0.586], [0.665, 0.665, 0.004], [0.862, 0.862, 0.414], [0.500, 0.500, 0.500], [0.579, 0.076, 0.766], [0.579, 0.579, 0.766]]}

Entry 4:
{"formula": "K2SnI3", "functional": "PBE", "state": "relaxed", "sg": "C2/c", "e_form_raw_ev_per_atom": -0.906, "lattice": [[-7.039, 1.220, -0.276], [-1.793, -10.079, 1.183], [3.839, 2.758, 6.867]], "species": ["K", "I", "K", "K", "Sn", "I", "I", "I", "K", "Sn", "I", "I"], "frac_coords": [[0.668, 0.084, 0.336], [0.850, 0.425, 0.700], [0.332, 0.916, 0.664], [0.668, 0.584, 0.336], [0.998, 0.250, 0.000], [0.150, 0.075, 0.300], [0.502, 0.750, 0.000], [0.150, 0.575, 0.300], [0.332, 0.416, 0.664], [0.002, 0.750, 0.000], [0.498, 0.250, 0.000], [0.850, 0.925, 0.700]]}

Entry 5:
{"formula": "BaAl2GaAu5", "functional": "PBE", "state": "relaxed", "sg": "Immm", "formation_enthalpy_0k_ev_per_atom": -0.41, "lattice": [[-0.808, 0.957, 4.709], [5.152, -4.798, 1.858], [1.934, 6.262, -3.461]], "species": ["Au", "Ga", "Au", "Au", "Ba", "Al", "Au", "Al", "Au"], "frac_coords": [[0.688, 0.991, 0.375], [0.500, 0.000, 0.000], [0.312, 0.616, 0.625], [0.688, 0.384, 0.375], [0.000, 0.500, 0.000], [0.784, 0.784, 0.568], [0.312, 0.009, 0.625], [0.216, 0.216, 0.432], [0.000, 0.000, 0.000]]}

Entry 6:
{"formula": "ZnCr2Hg", "functional": "PBE", "state": "relaxed", "relative_energy_mev_per_atom": 346, "sg": "R-3m", "formation_enthalpy_0k_ev_per_atom": 0.60, "lattice": [[-6.612, 5.327, -2.450], [-8.135, 3.376, -0.710], [-6.707, 5.728, 0.547]], "species": ["Cr", "Hg", "Zn", "Cr"], "frac_coords": [[0.005, 0.005, 0.005], [0.250, 0.250, 0.250], [0.750, 0.750, 0.750], [0.495, 0.495, 0.495]]}